DFT (PBE+U) results for an optimized crystal structure of VCoReO6.

Output
- DFT total energy (eV/atom) = -7.489
- volume (Å³/cell) = 191.2
- magnetic moment (μB/f.u.) = 3.0
- space-group type = No. 163

The structure in extended XYZ format:
```
18
Lattice="4.997 0.000 0.000 -2.498 4.327 0.000 0.000 0.000 8.842" Properties=species:S:1:pos:R:3 pbc="T T T"
V 0.000 2.885 2.210
V 2.498 1.442 6.631
Co 0.000 0.000 0.000
Co 0.000 0.000 4.421
Re 0.000 2.885 6.631
Re 2.498 1.442 2.210
O -0.810 1.515 5.563
O -1.591 2.869 7.699
O 0.810 1.515 7.699
O -0.782 4.271 5.563
O 1.717 0.056 1.143
O 0.907 1.459 3.278
O 1.591 2.869 5.563
O 0.782 4.271 7.699
O 3.280 0.056 3.278
O 1.689 2.813 1.143
O 4.090 1.459 1.143
O 3.308 2.813 3.278
```